Ca2SnPb4 | PBE | optimized geometry

Output
**Crystal system**: monoclinic
**Total magnetization**: 0.000 μB/f.u.
**Calculated volume**: 32.003 A^3/atom
**Space group**: No. 12
**Formation energy**: -0.279 eV/atom

Structure (CIF):
```
data_Ca2SnPb4
_chemical_formula_sum 'Ca2 Sn1 Pb4'
_cell_length_a 6.645
_cell_length_b 6.645
_cell_length_c 6.909
_cell_angle_alpha 118.78
_cell_angle_beta 118.78
_cell_angle_gamma 89.61
_space_group_name_H-M_alt 'P 1'
_space_group_IT_number 1
loop_
_space_group_symop_operation_xyz
'x,y,z'
loop_
_atom_site_label
_atom_site_type_symbol
_atom_site_fract_x
_atom_site_fract_y
_atom_site_fract_z
Ca1 Ca 0.000 0.500 0.000
Ca2 Ca 0.500 0.000 0.000
Sn1 Sn 0.000 0.000 0.000
Pb1 Pb 0.000 0.000 0.500
Pb2 Pb 0.000 0.500 0.500
Pb3 Pb 0.500 0.000 0.500
Pb4 Pb 0.500 0.500 0.500
```